Material: Cs2PrTe2S6
Method: DFT, PBE-GGA
State: relaxed

## Properties
uncorrected energy	-4.15	eV per atom
volume	390.5	Å³/cell
space-group type	C2/m

Geometry as POSCAR:
```
Cs2PrTe2S6
1.0
7.655 0.000 0.000
-3.827 5.941 -0.073
0.000 -3.397 8.629
Cs Pr Te S
2 1 2 6
Direct
0.697 0.394 0.136
0.303 0.606 0.864
0.500 0.000 0.500
0.923 0.846 0.762
0.077 0.154 0.238
0.751 0.501 0.530
0.235 0.927 0.238
0.309 0.073 0.762
0.765 0.073 0.762
0.691 0.927 0.238
0.249 0.499 0.470
```

Material: Cs3Pr2ThS6
Method: DFT, PBE-GGA
State: relaxed

## Properties
uncorrected energy	-5.46	eV per atom
volume	380.1	Å³/cell
space-group type	C2/m

Geometry as POSCAR:
```
Cs3Pr2ThS6
1.0
7.352 -0.001 0.000
-3.675 6.367 0.000
-1.226 -2.123 8.120
Cs Pr Th S
3 2 1 6
Direct
0.169 0.831 0.500
0.831 0.169 0.500
0.500 0.500 0.500
0.333 0.667 0.000
0.667 0.333 0.000
0.000 0.000 0.000
0.937 0.613 0.812
0.739 0.739 0.189
0.063 0.387 0.188
0.613 0.937 0.812
0.261 0.261 0.811
0.387 0.063 0.188
```

Material: Cs3PrTh2S6
Method: DFT, PBE-GGA
State: relaxed

## Properties
uncorrected energy	-5.62	eV per atom
volume	374.2	Å³/cell
space-group type	C2/m

Geometry as POSCAR:
```
Cs3PrTh2S6
1.0
7.282 0.000 0.000
-3.640 6.307 0.000
-1.214 -2.103 8.148
Cs Pr Th S
3 1 2 6
Direct
0.165 0.835 0.500
0.835 0.165 0.500
0.500 0.500 0.500
0.000 0.000 0.000
0.333 0.667 0.000
0.667 0.333 0.000
0.937 0.594 0.810
0.720 0.720 0.189
0.063 0.406 0.190
0.594 0.937 0.810
0.280 0.280 0.811
0.406 0.063 0.190
```

Material: Cs2Pr2TiS6
Method: DFT, PBE-GGA
State: relaxed

## Properties
uncorrected energy	-5.61	eV per atom
volume	345.5	Å³/cell
space-group type	C2/m

Geometry as POSCAR:
```
Cs2Pr2TiS6
1.0
6.944 0.023 0.048
-3.412 6.048 0.048
-1.275 -2.192 8.179
Cs Pr Ti S
2 2 1 6
Direct
0.828 0.172 0.000
0.172 0.828 0.000
0.333 0.667 0.500
0.667 0.333 0.500
0.000 0.000 0.500
0.769 0.769 0.674
0.062 0.357 0.676
0.231 0.231 0.326
0.357 0.062 0.676
0.938 0.643 0.324
0.643 0.938 0.324
```

Material: Cs2PrTlS4
Method: DFT, PBE-GGA
State: relaxed

## Properties
uncorrected energy	-4.23	eV per atom
volume	513.7	Å³/cell
space-group type	C2/c

Geometry as POSCAR:
```
Cs2PrTlS4
1.0
8.860 -0.276 0.040
-0.283 8.859 0.040
-4.168 -4.171 6.513
Cs Pr Tl S
4 2 2 8
Direct
0.500 0.000 0.000
0.500 0.000 0.500
0.000 0.000 0.500
0.500 0.500 0.000
0.000 0.500 0.000
0.000 0.500 0.500
0.500 0.500 0.500
0.000 0.000 0.000
0.193 0.717 0.943
0.783 0.307 0.557
0.217 0.693 0.443
0.807 0.283 0.057
0.803 0.769 0.989
0.731 0.697 0.511
0.269 0.303 0.489
0.197 0.231 0.011
```

Material: Cs3Pr2TmS6
Method: DFT, PBE-GGA
State: relaxed

## Properties
uncorrected energy	-5.25	eV per atom
volume	372.3	Å³/cell
space-group type	C2/m

Geometry as POSCAR:
```
Cs3Pr2TmS6
1.0
-3.557 -6.334 -0.606
6.074 1.152 -3.862
3.584 -1.334 7.532
Cs Pr Tm S
3 2 1 6
Direct
0.168 0.832 0.500
0.832 0.168 0.500
0.500 0.500 0.500
0.333 0.667 0.000
0.667 0.333 0.000
0.000 0.000 0.000
0.938 0.618 0.816
0.742 0.742 0.185
0.062 0.382 0.184
0.618 0.938 0.816
0.258 0.258 0.815
0.382 0.062 0.184
```

Material: Cs2PrTmS4
Method: DFT, PBE-GGA
State: relaxed

## Properties
uncorrected energy	-5.24	eV per atom
volume	243.5	Å³/cell
space-group type	P2/m

Geometry as POSCAR:
```
Cs2PrTmS4
1.0
-2.948 1.890 -2.262
0.826 -4.943 -5.205
-5.915 -2.975 5.223
Cs Pr Tm S
2 1 1 4
Direct
0.500 0.000 0.500
0.000 0.500 0.500
0.500 0.500 0.000
0.000 0.000 0.000
0.500 0.215 0.181
0.500 0.785 0.819
0.000 0.259 0.814
0.000 0.741 0.186
```

Material: Cs2PrUS6
Method: DFT, PBE-GGA
State: relaxed

## Properties
uncorrected energy	-5.60	eV per atom
volume	626.2	Å³/cell
space-group type	P4/mnc

Geometry as POSCAR:
```
Cs2PrUS6
1.0
-5.915 3.386 3.412
1.751 -3.521 6.530
6.329 8.274 2.764
Cs Pr U S
4 2 2 12
Direct
0.000 0.000 0.250
0.500 0.500 0.750
0.000 0.000 0.750
0.500 0.500 0.250
0.500 0.000 0.000
0.000 0.500 0.500
0.500 0.000 0.500
0.000 0.500 0.000
0.237 0.736 0.000
0.737 0.764 0.500
0.763 0.264 0.000
0.263 0.236 0.500
0.264 0.763 0.500
0.764 0.737 0.000
0.736 0.237 0.500
0.236 0.263 0.000
0.000 0.500 0.237
0.500 0.000 0.737
0.000 0.500 0.763
0.500 0.000 0.263
```

Material: Cs2Pr2US6
Method: DFT, PBE-GGA
State: relaxed

## Properties
uncorrected energy	-6.01	eV per atom
volume	373.7	Å³/cell
space-group type	C2/m

Geometry as POSCAR:
```
Cs2Pr2US6
1.0
-3.007 0.514 6.549
-3.339 -3.752 -5.194
6.144 -5.720 1.904
Cs Pr U S
2 2 1 6
Direct
0.830 0.170 0.000
0.170 0.830 0.000
0.334 0.666 0.500
0.666 0.334 0.500
0.000 0.000 0.500
0.747 0.747 0.679
0.059 0.378 0.679
0.253 0.253 0.321
0.378 0.059 0.679
0.941 0.622 0.321
0.622 0.941 0.321
```

Material: Cs4Pr3US8
Method: DFT, PBE-GGA
State: relaxed

## Properties
uncorrected energy	-5.55	eV per atom
volume	506.0	Å³/cell
space-group type	R-3m

Geometry as POSCAR:
```
Cs4Pr3US8
1.0
-5.458 0.245 -6.502
3.499 -8.179 -3.245
-2.901 0.003 7.982
Cs Pr U S
4 3 1 8
Direct
0.500 0.000 0.000
0.500 0.000 0.500
0.000 0.000 0.000
0.000 0.000 0.500
0.500 0.500 0.000
0.500 0.500 0.500
0.000 0.500 0.500
0.000 0.500 0.000
0.223 0.685 0.962
0.223 0.685 0.447
0.270 0.311 0.540
0.739 0.685 0.962
0.261 0.315 0.038
0.730 0.689 0.460
0.777 0.315 0.553
0.777 0.315 0.038
```